A relaxed structure of MnHg3F7. Source: Alexandria, functional PBE with a Hubbard U.

## Properties
Crystal system   orthorhombic
Energy   -3.6247 eV per atom
M_tot   5.0 μB/f.u.

a b c (Å): 11.1838 8.0532 7.8212
angles (deg): 90.00 90.00 90.00
Space group Cmcm (No. 63)
Symmetry-distinct sites (fractional):
Mn 0.0000 0.0000 0.0000 x4
Hg 0.0000 0.5000 0.0000 x4
Hg 0.2289 0.2234 0.2500 x8
F 0.0000 0.0798 0.2500 x4
F 0.1340 0.1904 0.5269 x16
F 0.1388 0.4914 0.2500 x8